No. 1
Density functional theory data (PBE) for FeReMo2Rh after structural relaxation.

abc: 4.381 4.392 4.381
angles: 90.00 90.00 90.00
Sites, in units of the cell vectors:
Re: 0.000 0.500 0.000
Mo: 0.000 0.000 0.500
Mo: 0.500 0.000 0.000
Rh: 0.500 0.500 0.500
Fe: 0.000 0.000 0.000

Computed properties:
DFT formation energy   1199 meV/atom
Space-group type   P4/mmm
E above lowest polymorph   0.00 eV/f.u.
Calculated density   10.57 Mg/m³


No. 2
Density functional theory data (PBE) for YErNiPd after structural relaxation.

abc: 4.873 4.873 4.873
angles: 60.00 60.00 60.00
Sites, in units of the cell vectors:
Y: 0.750 0.750 0.750
Ni: 0.000 0.000 0.000
Pd: 0.500 0.500 0.500
Er: 0.250 0.250 0.250

Computed properties:
DFT formation energy   -633 meV/atom
Space-group type   F-43m
E above lowest polymorph   0.16 eV/f.u.
Calculated density   8.55 Mg/m³


No. 3
Density functional theory data (PBE) for CaSc7Tl4 after structural relaxation.

abc: 5.381 9.275 7.041
angles: 80.27 67.53 73.14
Last column: magnetic moment on the atom in μB.
Sites, in units of the cell vectors:
Ca: 0.000 0.000 0.000  0.09
Sc: 0.780 0.880 0.560  0.03
Sc: 0.220 0.120 0.440  0.03
Sc: 0.052 0.619 0.277  -0.04
Sc: 0.948 0.381 0.723  -0.04
Sc: 0.339 0.585 0.736  -0.06
Sc: 0.500 0.000 0.000  0.27
Sc: 0.661 0.415 0.264  -0.06
Tl: 0.583 0.210 0.624  0.00
Tl: 0.417 0.790 0.376  0.00
Tl: 0.697 0.674 0.931  0.00
Tl: 0.303 0.326 0.069  0.00

Computed properties:
DFT formation energy   47 meV/atom
Space-group type   C2/m
Calculated density   6.28 Mg/m³


No. 4
Density functional theory data (PBE) for AcDy2Ho5Tm after structural relaxation.

abc: 9.000 9.000 9.759
angles: 117.46 117.46 90.00
Sites, in units of the cell vectors:
Ac: 0.250 0.250 0.500
Ac: 0.750 0.750 0.500
Dy: 0.112 0.388 0.000
Dy: 0.612 0.112 0.000
Dy: 0.388 0.888 0.000
Dy: 0.888 0.612 0.000
Ho: 0.924 0.424 0.254
Ho: 0.670 0.170 0.746
Ho: 0.076 0.576 0.746
Ho: 0.170 0.076 0.746
Ho: 0.576 0.670 0.746
Ho: 0.830 0.924 0.254
Ho: 0.424 0.330 0.254
Ho: 0.330 0.830 0.254
Ho: 0.500 0.500 0.000
Ho: 0.000 0.000 0.000
Tm: 0.250 0.750 0.500
Tm: 0.750 0.250 0.500

Computed properties:
DFT formation energy   288 meV/atom
Space-group type   I4/mcm
Calculated density   8.57 Mg/m³


No. 5
Density functional theory data (PBE) for NiPRu2 after structural relaxation.

abc: 3.633 2.867 5.116
angles: 76.83 90.00 90.00
Sites, in units of the cell vectors:
Ni: 0.500 0.500 0.000
P: 0.500 0.500 0.500
Ru: 0.000 0.140 0.738
Ru: 0.000 0.860 0.262

Computed properties:
DFT formation energy   -135 meV/atom
Space-group type   P2/m
Calculated density   9.34 Mg/m³


No. 6
Density functional theory data (PBE) for Ac2PtAu after structural relaxation.

abc: 3.839 3.839 7.728
angles: 90.00 90.00 90.00
Sites, in units of the cell vectors:
Ac: 0.000 0.000 0.761
Ac: 0.000 0.000 0.239
Au: 0.500 0.500 0.500
Pt: 0.500 0.500 0.000

Computed properties:
DFT formation energy   -893 meV/atom
Space-group type   P4/mmm
Calculated density   12.33 Mg/m³


No. 7
Density functional theory data (PBE) for AcTl2Te after structural relaxation.

abc: 4.133 4.133 11.204
angles: 79.37 79.37 60.00
Sites, in units of the cell vectors:
Ac: 0.000 0.000 0.000
Te: 0.500 0.500 0.500
Tl: 0.104 0.104 0.687
Tl: 0.896 0.896 0.313

Computed properties:
Formation energy (no corrections)   -0.0376 eV per atom
Space-group type   R-3m
E above lowest polymorph   2.22 eV/f.u.
Calculated density   7.83 Mg/m³


No. 8
Density functional theory data (PBE) for TaTi2Al2 after structural relaxation.

abc: 7.272 7.272 3.155
angles: 90.00 90.00 90.00
Sites, in units of the cell vectors:
Ti: 0.175 0.675 0.500
Ti: 0.675 0.825 0.500
Ti: 0.825 0.325 0.500
Ti: 0.325 0.175 0.500
Al: 0.375 0.875 0.000
Al: 0.875 0.625 0.000
Al: 0.625 0.125 0.000
Al: 0.125 0.375 0.000
Ta: 0.000 0.000 0.000
Ta: 0.500 0.500 0.000

Computed properties:
DFT formation energy   -248 meV/atom
Space-group type   P4/mbm
E above lowest polymorph   0.02 eV/f.u.
Calculated density   6.58 Mg/m³


No. 9
Density functional theory data (PBE) for Na3LaSm2O6 after structural relaxation.

abc: 3.575 6.970 7.864
angles: 100.73 103.14 90.00
Sites, in units of the cell vectors:
Na: 0.500 0.500 0.000
Na: 0.829 0.164 0.659
Na: 0.171 0.836 0.341
La: 0.500 0.000 0.000
Sm: 0.832 0.662 0.665
Sm: 0.168 0.338 0.335
O: 0.338 0.890 0.677
O: 0.676 0.566 0.351
O: 0.662 0.110 0.323
O: 0.010 0.238 0.021
O: 0.990 0.762 0.979
O: 0.324 0.434 0.649

Computed properties:
Formation energy (no corrections)   -2.6639 eV per atom
Space-group type   C2/m
Calculated density   5.36 Mg/m³


No. 10
Density functional theory data (PBE) for PmCo4 after structural relaxation.

abc: 4.637 4.637 4.637
angles: 90.00 90.00 90.00
Last column: magnetic moment on the atom in μB.
Sites, in units of the cell vectors:
Co: 0.000 0.000 0.000  2.14
Co: 0.500 0.000 0.500  1.17
Co: 0.000 0.500 0.500  1.17
Co: 0.500 0.500 0.000  1.17
Pm: 0.500 0.500 0.500  -0.20

Computed properties:
DFT formation energy   2032 meV/atom
Space-group type   Pm-3m
Calculated density   6.34 Mg/m³


No. 11
Density functional theory data (PBE) for Li3TlBr after structural relaxation.

abc: 5.388 5.388 5.388
angles: 90.00 90.00 90.00
Last column: magnetic moment on the atom in μB.
Sites, in units of the cell vectors:
Tl: 0.000 0.000 0.000  0.60
Br: 0.500 0.500 0.500  0.16
Li: 0.000 0.500 0.000  0.05
Li: 0.000 0.000 0.500  0.06
Li: 0.500 0.000 0.000  0.05

Computed properties:
Formation energy (no corrections)   -0.0544 eV per atom
Space-group type   Pm-3m
E above lowest polymorph   2.09 eV/f.u.
Calculated density   3.24 Mg/m³


No. 12
Density functional theory data (PBE) for Sm6CoAg after structural relaxation.

abc: 6.686 7.114 6.561
angles: 57.17 80.60 72.46
Sites, in units of the cell vectors:
Sm: 0.741 0.484 0.635
Sm: 0.741 0.119 0.365
Sm: 0.259 0.881 0.635
Sm: 0.259 0.516 0.365
Sm: 0.711 0.752 0.000
Sm: 0.289 0.248 0.000
Co: 0.500 0.500 0.000
Ag: 0.000 0.000 0.000

Computed properties:
DFT formation energy   42 meV/atom
Space-group type   C2/m
Calculated density   7.10 Mg/m³


No. 13
Density functional theory data (PBE) for Ac2Sn3PbAu4 after structural relaxation.

abc: 4.787 4.787 11.516
angles: 90.00 90.00 90.00
Sites, in units of the cell vectors:
Ac: 0.500 0.000 0.233
Ac: 0.000 0.500 0.767
Sn: 0.000 0.000 0.500
Sn: 0.500 0.000 0.875
Sn: 0.000 0.500 0.125
Pb: 0.500 0.500 0.500
Au: 0.500 0.500 0.000
Au: 0.000 0.000 0.000
Au: 0.500 0.000 0.643
Au: 0.000 0.500 0.357

Computed properties:
DFT formation energy   -598 meV/atom
Space-group type   P-4m2
Calculated density   11.36 Mg/m³


No. 14
Density functional theory data (PBE) for ZrTiNbIr after structural relaxation.

abc: 4.609 4.609 4.609
angles: 60.00 60.00 60.00
Sites, in units of the cell vectors:
Nb: 0.000 0.000 0.000
Ir: 0.500 0.500 0.500
Zr: 0.250 0.250 0.250
Ti: 0.750 0.750 0.750

Computed properties:
DFT formation energy   -423 meV/atom
Space-group type   F-43m
Calculated density   10.17 Mg/m³


No. 15
Density functional theory data (PBE) for TbTl2F8 after structural relaxation.

abc: 4.511 7.123 7.122
angles: 120.01 90.00 90.00
Sites, in units of the cell vectors:
Tl: 0.268 0.333 0.667
Tl: 0.732 0.667 0.333
Tb: 0.000 0.000 0.000
F: 0.235 0.667 0.333
F: 0.765 0.333 0.667
F: 0.745 0.846 0.152
F: 0.255 0.152 0.305
F: 0.255 0.695 0.846
F: 0.255 0.154 0.848
F: 0.745 0.848 0.695
F: 0.745 0.305 0.154

Computed properties:
Formation energy (no corrections)   -2.5235 eV per atom
Space-group type   P-3
E above lowest polymorph   0.53 eV/f.u.
Calculated density   6.03 Mg/m³


No. 16
Density functional theory data (PBE) for K2AgBiF6 after structural relaxation.

abc: 6.612 6.612 6.612
angles: 60.00 60.00 60.00
Sites, in units of the cell vectors:
K: 0.750 0.750 0.750
K: 0.250 0.250 0.250
Ag: 0.500 0.500 0.500
Bi: 0.000 0.000 0.000
F: 0.758 0.242 0.242
F: 0.242 0.242 0.758
F: 0.242 0.758 0.758
F: 0.242 0.758 0.242
F: 0.758 0.242 0.758
F: 0.758 0.758 0.242

Computed properties:
Formation energy (no corrections)   -2.2614 eV per atom
Space-group type   Fm-3m
E above lowest polymorph   0.58 eV/f.u.
Calculated density   4.13 Mg/m³


No. 17
Density functional theory data (PBE) for PrErCoHg after structural relaxation.

abc: 5.117 5.117 5.117
angles: 60.00 60.00 60.00
Last column: magnetic moment on the atom in μB.
Sites, in units of the cell vectors:
Pr: 0.000 0.000 0.000  -0.13
Co: 0.750 0.750 0.750  1.02
Hg: 0.250 0.250 0.250  -0.03
Er: 0.500 0.500 0.500  -0.23

Computed properties:
DFT formation energy   -157 meV/atom
Space-group type   F-43m
Calculated density   9.95 Mg/m³


No. 18
Density functional theory data (PBE) for LaHo2Mg5 after structural relaxation.

abc: 5.318 5.318 8.480
angles: 108.28 108.28 90.00
Sites, in units of the cell vectors:
La: 0.000 0.000 0.000
Ho: 0.259 0.259 0.518
Ho: 0.741 0.741 0.482
Mg: 0.500 0.500 0.000
Mg: 0.625 0.125 0.249
Mg: 0.125 0.625 0.249
Mg: 0.375 0.875 0.751
Mg: 0.875 0.375 0.751

Computed properties:
DFT formation energy   -85 meV/atom
Space-group type   I4/mmm
Calculated density   4.56 Mg/m³


No. 19
Density functional theory data (PBE) for LaBS2N after structural relaxation.

abc: 5.393 5.393 2.816
angles: 90.00 90.00 90.00
Sites, in units of the cell vectors:
S: 0.000 0.500 0.000
S: 0.500 0.000 0.000
N: 0.000 0.000 0.500
B: 0.000 0.000 0.000
La: 0.500 0.500 0.500

Computed properties:
Formation energy (no corrections)   -0.3783 eV per atom
Space-group type   P4/mmm
E above lowest polymorph   0.00 eV/f.u.
Calculated density   4.62 Mg/m³


No. 20
Density functional theory data (PBE) for CaHf3Ge after structural relaxation.

abc: 5.111 5.111 5.111
angles: 90.00 90.00 90.00
Sites, in units of the cell vectors:
Ge: 0.000 0.000 0.000
Hf: 0.000 0.500 0.000
Hf: 0.000 0.000 0.500
Hf: 0.500 0.000 0.000
Ca: 0.500 0.500 0.500

Computed properties:
DFT formation energy   345 meV/atom
Space-group type   Pm-3m
E above lowest polymorph   0.00 eV/f.u.
Calculated density   8.06 Mg/m³


No. 21
Density functional theory data (PBE) for Nd4ZnGa2 after structural relaxation.

abc: 5.184 5.184 8.858
angles: 72.98 72.98 60.00
Sites, in units of the cell vectors:
Nd: 0.872 0.872 0.383
Nd: 0.128 0.128 0.617
Nd: 0.621 0.621 0.137
Nd: 0.379 0.379 0.863
Zn: 0.000 0.000 0.000
Ga: 0.748 0.748 0.757
Ga: 0.252 0.252 0.243

Computed properties:
DFT formation energy   -371 meV/atom
Space-group type   R-3m
Calculated density   6.69 Mg/m³


No. 22
Density functional theory data (PBE) for CsThVN3 after structural relaxation.

abc: 3.896 7.183 8.586
angles: 103.76 90.00 105.73
Sites, in units of the cell vectors:
Cs: 0.359 0.717 0.933
Cs: 0.641 0.283 0.067
Th: 0.655 0.309 0.577
Th: 0.345 0.691 0.423
V: 0.008 0.015 0.329
V: 0.992 0.985 0.671
N: 0.872 0.744 0.251
N: 0.838 0.677 0.600
N: 0.513 0.027 0.347
N: 0.162 0.323 0.400
N: 0.487 0.973 0.653
N: 0.128 0.256 0.749

Computed properties:
Formation energy (no corrections)   -0.8227 eV per atom
Space-group type   C2/m
Calculated density   6.79 Mg/m³